Density functional theory data (PBE) for DySbF after structural relaxation.

Summary:
**E above lowest polymorph**: 3 kJ/mol of formula units
**Raw formation energy**: -2092 meV/atom
**Total magnetization**: 0.00 μB per cell
**D(E_F)**: 0.8 states/eV/cell

```
data_DySbF
_chemical_formula_sum 'Dy1 Sb1 F1'
_cell_length_a 3.9435
_cell_length_b 3.9435
_cell_length_c 4.8033
_cell_angle_alpha 90.00
_cell_angle_beta 90.00
_cell_angle_gamma 120.00
_symmetry_space_group_name_H-M 'P -6 m 2'
_symmetry_Int_Tables_number 187
_symmetry_space_group_name_Hall 'P -6 2'
loop_
_atom_site_label
_atom_site_type_symbol
_atom_site_fract_x
_atom_site_fract_y
_atom_site_fract_z
Dy1 Dy 0.0000 0.0000 0.0000
Sb1 Sb 0.6667 0.3333 0.5000
F1 F 0.3333 0.6667 0.0000
```